A geometry-optimized La2SiF structure. Source: Alexandria via LeMat-Bulk, functional PBE.

```
La2SiF
1.0
0.000 3.583 3.583
3.583 0.000 3.583
3.583 3.583 0.000
Si F La
1 1 2
Direct
0.500 0.500 0.500 Si
0.000 0.000 0.000 F
0.250 0.250 0.250 La
0.750 0.750 0.750 La
```

Summary:
Its formation energy (no corrections) is -1.436 eV per atom. The final energy comes out at -5.723 eV per atom. As for the theoretical density: 5.87 Mg/m³. Its space group is Fm-3m (225).